#one
DFT (GGA-PBE) results for a relaxed structure of TaC.

Properties
density: 14.283 g/cm3

Lattice parameters (Å, degrees): 4.477 4.477 4.477 90.00 90.00 90.00
Fractional positions:
Ta: 0.000 0.000 0.000
Ta: 0.000 0.500 0.500
Ta: 0.500 0.000 0.500
Ta: 0.500 0.500 0.000
C: 0.000 0.000 0.500
C: 0.000 0.500 0.000
C: 0.500 0.000 0.000
C: 0.500 0.500 0.500

***

#two
DFT (GGA-PBE) results for a relaxed structure of TaC.

Properties
density: 13.787 g/cm3

Lattice parameters (Å, degrees): 3.052 3.052 2.882 90.00 90.00 120.00
Fractional positions:
Ta: 0.000 0.000 0.000
C: 0.333 0.667 0.500

***

#three
DFT (GGA-PBE) results for a relaxed structure of TaC.

Properties
density: 11.379 g/cm3

Lattice parameters (Å, degrees): 4.829 4.829 4.829 90.00 90.00 90.00
Fractional positions:
Ta: 0.000 0.000 0.000
Ta: 0.000 0.500 0.500
Ta: 0.500 0.000 0.500
Ta: 0.500 0.500 0.000
C: 0.250 0.250 0.250
C: 0.250 0.750 0.750
C: 0.750 0.250 0.750
C: 0.750 0.750 0.250

***

#four
DFT (GGA-PBE) results for a relaxed structure of TaC.

Properties
density: 14.283 g/cm3

Lattice parameters (Å, degrees): 3.107 3.107 5.366 90.00 90.00 120.00
Fractional positions:
Ta: 0.333 0.667 0.250
Ta: 0.667 0.333 0.750
C: 0.000 0.000 0.000
C: 0.000 0.000 0.500

***

The structure with the least stability is #three.